RhAu2Br | PBE-GGA | optimized geometry

Summary:
Total magnetization   2.684 μB per cell
E_tot   -3.327 eV per atom
V   149.1 Å³/cell
Energy above the lowest structure with this stoichiometry   347 meV/atom
N(E_F)   9.17 states/eV/cell

Cell and atoms, written as CIF:
```
data_RhAu2Br
_chemical_formula_sum 'Rh2 Au4 Br2'
_cell_length_a 4.714
_cell_length_b 4.714
_cell_length_c 6.711
_cell_angle_alpha 90.00
_cell_angle_beta 90.00
_cell_angle_gamma 90.00
_symmetry_space_group_name_H-M 'I -4 m 2'
_symmetry_Int_Tables_number 119
_symmetry_space_group_name_Hall 'I -4 -2'
loop_
_atom_site_label
_atom_site_type_symbol
_atom_site_fract_x
_atom_site_fract_y
_atom_site_fract_z
Rh1 Rh 0.000 0.000 0.000
Au1 Au 0.000 0.000 0.500
Au2 Au 0.000 0.500 0.750
Br1 Br 0.000 0.500 0.250
```